Computed, not measured: a relaxed La2Nd5Sm4 crystal at the GGA-PBE level of DFT.

Lattice parameters (Å, degrees): 3.575 9.386 23.818 90.00 90.00 90.00
Space group Immm (No. 71)
Unique sites:
La (0.000, 0.000, 0.232)
Nd (0.000, 0.194, 0.357)
Nd (0.000, 0.500, 0.000)
Sm (0.000, 0.000, 0.097)
Sm (0.000, 0.307, 0.500)

## Properties
E: -4.60 eV/atom